No. 1
A geometry-optimized CaMg5Tl8 structure. Source: the Alexandria database, functional PBE-GGA.

Unit cell a=7.9000 b=7.9000 c=7.9000 alpha=109.58 beta=109.26 gamma=109.58
Fractional coordinates of all 14 atoms:
Ca 0.2500 0.5000 0.7500
Mg 0.0377 0.3468 0.1251
Mg 0.8749 0.9126 0.2217
Mg 0.7783 0.6532 0.6909
Mg 0.5000 0.0000 0.5000
Mg 0.3091 0.0874 0.9623
Tl 0.1386 0.7441 0.0683
Tl 0.9317 0.0703 0.6758
Tl 0.7500 0.2623 0.3488
Tl 0.6512 0.4012 0.9135
Tl 0.5123 0.5988 0.2500
Tl 0.6054 0.9297 0.8614
Tl 0.3242 0.2559 0.3946
Tl 0.0865 0.7377 0.4877

SG: I-4
V (A^3/atom): 27.11

***

No. 2
A geometry-optimized Ca3Mg7Tl4 structure. Source: the Alexandria database, functional PBE-GGA.

Unit cell a=4.7822 b=9.0480 c=9.4958 alpha=72.89 beta=75.42 gamma=74.68
Fractional coordinates of all 14 atoms:
Ca 0.3006 0.1915 0.2073
Ca 0.6994 0.8085 0.7927
Ca 0.0000 0.5000 0.5000
Mg 0.3276 0.8330 0.5118
Mg 0.4890 0.2039 0.8182
Mg 0.8416 0.3917 0.9251
Mg 0.6724 0.1670 0.4882
Mg 0.1584 0.6083 0.0749
Mg 0.0000 0.0000 0.0000
Mg 0.5110 0.7961 0.1818
Tl 0.6570 0.4466 0.2394
Tl 0.3430 0.5534 0.7606
Tl 0.8826 0.9047 0.3302
Tl 0.1174 0.0953 0.6698

SG: C2/m
V (A^3/atom): 26.57

***

No. 3
A geometry-optimized CaMg2Tl7 structure. Source: the Alexandria database, functional PBE-GGA.

Unit cell a=5.0576 b=8.8835 c=8.8836 alpha=121.31 beta=90.00 gamma=90.00
Fractional coordinates of all 10 atoms:
Ca 0.0000 0.0000 0.0000
Mg 0.5000 0.6930 0.3070
Mg 0.5000 0.3070 0.6930
Tl 0.0000 0.7798 0.2202
Tl 0.0000 0.2202 0.7798
Tl 0.5000 0.0671 0.3045
Tl 0.5000 0.9329 0.6955
Tl 0.5000 0.3045 0.0671
Tl 0.5000 0.6955 0.9329
Tl 0.5000 0.5000 0.5000

SG: Cmmm
V (A^3/atom): 34.10

***

No. 4
A geometry-optimized Ca6MgTl2 structure. Source: the Alexandria database, functional PBE-GGA.

Unit cell a=5.6613 b=5.6617 c=10.5369 alpha=90.00 beta=90.00 gamma=120.00
Fractional coordinates of all 9 atoms:
Ca 0.6667 0.3334 0.9504
Ca 0.3333 0.6666 0.0496
Ca 0.0000 0.0001 0.1953
Ca 0.3333 0.6667 0.4057
Ca 0.0000 0.9999 0.8047
Ca 0.6667 0.3333 0.5943
Mg 0.0000 0.0000 0.5000
Tl 0.3333 0.6666 0.7339
Tl 0.6667 0.3334 0.2661

SG: P-3m1
V (A^3/atom): 32.50

***

No. 5
A geometry-optimized CaMgTl2 structure. Source: the Alexandria database, functional PBE-GGA.

Unit cell a=5.3232 b=5.3232 c=5.3232 alpha=60.00 beta=60.00 gamma=60.00
Fractional coordinates of all 4 atoms:
Mg 0.0000 0.0000 0.0000
Tl 0.2500 0.2500 0.2500
Tl 0.7500 0.7500 0.7500
Ca 0.5000 0.5000 0.5000

SG: Fm-3m
V (A^3/atom): 26.66
Energy above the most stable polymorph in this dataset (eV/atom): 0.000

***

No. 6
A geometry-optimized Ca2MgTl structure. Source: the Alexandria database, functional PBE-GGA.

Unit cell a=10.7362 b=10.7362 c=10.7362 alpha=20.27 beta=20.27 gamma=20.27
Fractional coordinates of all 4 atoms:
Ca 0.0038 0.0038 0.0038
Ca 0.4962 0.4962 0.4962
Mg 0.2500 0.2500 0.2500
Tl 0.7500 0.7500 0.7500

SG: R-3m
V (A^3/atom): 32.49
Energy above the most stable polymorph in this dataset (eV/atom): 0.175

***

No. 7
A geometry-optimized CaMgTl2 structure. Source: the Alexandria database, functional PBE-GGA.

Unit cell a=4.8270 b=4.8270 c=11.1896 alpha=77.54 beta=77.54 gamma=90.00
Fractional coordinates of all 8 atoms:
Mg 0.5000 0.5000 0.0000
Mg 0.2500 0.7500 0.5000
Tl 0.6025 0.1250 0.2500
Tl 0.1475 0.6250 0.2500
Tl 0.3750 0.3975 0.7500
Tl 0.8750 0.8525 0.7500
Ca 0.0000 0.0000 0.0000
Ca 0.7500 0.2500 0.5000

SG: I-42d
V (A^3/atom): 31.04
Energy above the most stable polymorph in this dataset (eV/atom): 0.264

***

No. 8
A geometry-optimized Ca8Mg2Tl structure. Source: the Alexandria database, functional PBE-GGA.

Unit cell a=5.5088 b=8.0691 c=10.1242 alpha=113.48 beta=105.78 gamma=90.01
Fractional coordinates of all 11 atoms:
Ca 0.6366 0.2286 0.9091
Ca 0.9827 0.0235 0.6018
Ca 0.2900 0.3308 0.2164
Ca 0.7429 0.9595 0.1220
Ca 0.3471 0.8608 0.3306
Ca 0.9256 0.4393 0.4876
Ca 0.1368 0.5573 0.9091
Ca 0.5300 0.7466 0.6962
Mg 0.7939 0.6048 0.2251
Mg 0.4779 0.2888 0.5931
Tl 0.1365 0.9600 0.9091

SG: Imm2
V (A^3/atom): 35.83
Energy above the most stable polymorph in this dataset (eV/atom): 0.000

***

No. 9
A geometry-optimized Ca6MgTl5 structure. Source: the Alexandria database, functional PBE-GGA.

Unit cell a=5.4426 b=7.9382 c=9.4838 alpha=114.74 beta=106.67 gamma=90.00
Fractional coordinates of all 12 atoms:
Ca 0.8309 0.5785 0.6618
Ca 0.8309 0.0833 0.6618
Ca 0.5000 0.7429 0.0000
Ca 0.5000 0.2571 0.0000
Ca 0.1691 0.9167 0.3382
Ca 0.1691 0.4215 0.3382
Mg 0.0000 0.0000 0.0000
Tl 0.6589 0.1589 0.3178
Tl 0.3329 0.3329 0.6659
Tl 0.0000 0.5000 0.0000
Tl 0.6671 0.6671 0.3341
Tl 0.3411 0.8411 0.6822

SG: Immm
V (A^3/atom): 29.42

***

No. 10
A geometry-optimized Ca4MgTl12 structure. Source: the Alexandria database, functional PBE-GGA.

Unit cell a=8.6501 b=8.6501 c=8.6501 alpha=109.47 beta=109.47 gamma=109.47
Fractional coordinates of all 17 atoms:
Ca 0.0000 0.0000 0.5000
Ca 0.5000 0.0000 0.0000
Ca 0.5000 0.5000 0.5000
Ca 0.0000 0.5000 0.0000
Mg 0.0000 0.0000 0.0000
Tl 0.0000 0.2893 0.2893
Tl 0.0000 0.7107 0.7107
Tl 0.7107 0.7107 0.0000
Tl 0.2893 0.2893 0.0000
Tl 0.2893 0.0000 0.2893
Tl 0.7107 0.0000 0.7107
Tl 0.5000 0.2500 0.7500
Tl 0.5000 0.7500 0.2500
Tl 0.7500 0.2500 0.5000
Tl 0.2500 0.7500 0.5000
Tl 0.7500 0.5000 0.2500
Tl 0.2500 0.5000 0.7500

SG: Im-3m
V (A^3/atom): 29.31

***

No. 11
A geometry-optimized CaMg7Tl12 structure. Source: the Alexandria database, functional PBE-GGA.

Unit cell a=9.4515 b=9.4515 c=9.4515 alpha=109.47 beta=109.47 gamma=109.47
Fractional coordinates of all 20 atoms:
Ca 0.0000 0.0000 0.0000
Mg 0.5000 0.0000 0.5000
Mg 0.5000 0.5000 0.0000
Mg 0.0000 0.5000 0.5000
Mg 0.0000 0.0000 0.5000
Mg 0.5000 0.0000 0.0000
Mg 0.5000 0.5000 0.5000
Mg 0.0000 0.5000 0.0000
Tl 0.2752 0.1569 0.4321
Tl 0.2752 0.8431 0.1183
Tl 0.7248 0.8431 0.5679
Tl 0.7248 0.1569 0.8817
Tl 0.4321 0.2752 0.1569
Tl 0.8817 0.7248 0.1569
Tl 0.5679 0.7248 0.8431
Tl 0.1183 0.2752 0.8431
Tl 0.8431 0.1183 0.2752
Tl 0.1569 0.8817 0.7248
Tl 0.1569 0.4321 0.2752
Tl 0.8431 0.5679 0.7248

SG: Im-3
V (A^3/atom): 32.50

***

No. 12
A geometry-optimized Ca8MgTl2 structure. Source: the Alexandria database, functional PBE-GGA.

Unit cell a=5.9846 b=8.7596 c=8.7596 alpha=113.04 beta=99.43 gamma=99.43
Fractional coordinates of all 11 atoms:
Ca 0.9108 0.9305 0.6785
Ca 0.9108 0.6785 0.9305
Ca 0.3080 0.6237 0.6237
Ca 0.5000 0.7652 0.2348
Ca 0.5000 0.2348 0.7652
Ca 0.6920 0.3763 0.3763
Ca 0.0892 0.3215 0.0695
Ca 0.0892 0.0695 0.3215
Mg 0.5000 0.0000 0.0000
Tl 0.0000 0.3166 0.6834
Tl 0.0000 0.6834 0.3166

SG: C2/m
V (A^3/atom): 36.68
Energy above the most stable polymorph in this dataset (eV/atom): 0.017

***

No. 13
A geometry-optimized CaMg3Tl3 structure. Source: the Alexandria database, functional PBE-GGA.

Unit cell a=5.1375 b=9.0805 c=9.0805 alpha=120.00 beta=90.00 gamma=90.00
Fractional coordinates of all 14 atoms:
Ca 0.2500 0.6667 0.3333
Ca 0.7500 0.3333 0.6667
Mg 0.7500 0.0267 0.8034
Mg 0.7500 0.7767 0.9733
Mg 0.2500 0.8034 0.7767
Mg 0.7500 0.1966 0.2233
Mg 0.2500 0.2233 0.0267
Mg 0.2500 0.9733 0.1966
Tl 0.7500 0.6376 0.5525
Tl 0.7500 0.9148 0.3624
Tl 0.2500 0.5525 0.9148
Tl 0.7500 0.4475 0.0852
Tl 0.2500 0.0852 0.6376
Tl 0.2500 0.3624 0.4475

SG: P6_3/m
V (A^3/atom): 26.20
Energy above the most stable polymorph in this dataset (eV/atom): 0.000

***

No. 14
A geometry-optimized CaMgTl4 structure. Source: the Alexandria database, functional PBE-GGA.

Unit cell a=3.9907 b=6.1314 c=8.2166 alpha=105.46 beta=75.95 gamma=71.01
Fractional coordinates of all 6 atoms:
Ca 0.0000 0.0000 0.0000
Mg 0.5000 0.5000 0.5000
Tl 0.8477 0.4855 0.8190
Tl 0.3210 0.0161 0.3418
Tl 0.1523 0.5145 0.1810
Tl 0.6790 0.9839 0.6582

SG: C2/m
V (A^3/atom): 28.47
Energy above the most stable polymorph in this dataset (eV/atom): 0.000

***

No. 15
A geometry-optimized Ca3Mg4Tl4 structure. Source: the Alexandria database, functional PBE-GGA.

Unit cell a=4.6507 b=8.2058 c=9.2588 alpha=116.30 beta=104.55 gamma=90.00
Fractional coordinates of all 11 atoms:
Ca 0.1198 0.1198 0.2395
Ca 0.8802 0.8802 0.7605
Ca 0.0000 0.5000 0.0000
Mg 0.3263 0.1334 0.6526
Mg 0.6737 0.4808 0.3474
Mg 0.6737 0.8666 0.3474
Mg 0.3263 0.5192 0.6526
Tl 0.2233 0.7234 0.4467
Tl 0.7767 0.2766 0.5533
Tl 0.5000 0.8059 0.0000
Tl 0.5000 0.1941 0.0000

SG: Immm
V (A^3/atom): 27.64

***

No. 16
A geometry-optimized CaMg2Tl4 structure. Source: the Alexandria database, functional PBE-GGA.

Unit cell a=7.4067 b=6.3892 c=6.3892 alpha=70.37 beta=54.58 gamma=54.58
Fractional coordinates of all 7 atoms:
Ca 0.0000 0.0000 0.0000
Mg 0.0000 0.5000 0.5000
Mg 0.5000 0.5000 0.5000
Tl 0.4998 0.5000 0.0004
Tl 0.9998 0.0004 0.5000
Tl 0.5002 0.9996 0.5000
Tl 0.0002 0.5000 0.9996

SG: I4/mmm
V (A^3/atom): 28.68
Energy above the most stable polymorph in this dataset (eV/atom): 0.065

***

No. 17
A geometry-optimized CaMg12Tl6 structure. Source: the Alexandria database, functional PBE-GGA.

Unit cell a=8.3454 b=8.3454 c=8.3454 alpha=105.20 beta=105.20 gamma=105.20
Fractional coordinates of all 19 atoms:
Ca 0.0000 0.0000 0.0000
Mg 0.8866 0.1134 0.5000
Mg 0.8460 0.5988 0.5988
Mg 0.5988 0.5988 0.8460
Mg 0.4012 0.1540 0.4012
Mg 0.4012 0.4012 0.1540
Mg 0.1540 0.4012 0.4012
Mg 0.1134 0.5000 0.8866
Mg 0.5000 0.8866 0.1134
Mg 0.1134 0.8866 0.5000
Mg 0.8866 0.5000 0.1134
Mg 0.5000 0.1134 0.8866
Mg 0.5988 0.8460 0.5988
Tl 0.7201 0.2680 0.2680
Tl 0.2680 0.2680 0.7201
Tl 0.2680 0.7201 0.2680
Tl 0.7320 0.7320 0.2799
Tl 0.2799 0.7320 0.7320
Tl 0.7320 0.2799 0.7320

SG: R-3m
V (A^3/atom): 26.63

***

No. 18
A geometry-optimized CaMg6Tl6 structure. Source: the Alexandria database, functional PBE-GGA.

Unit cell a=6.2164 b=7.9758 c=7.9758 alpha=76.78 beta=67.06 gamma=67.06
Fractional coordinates of all 13 atoms:
Ca 0.0000 0.0000 0.0000
Mg 0.0000 0.5000 0.0000
Mg 0.5000 0.5000 0.0000
Mg 0.0000 0.0000 0.5000
Mg 0.5000 0.0000 0.5000
Mg 0.5000 0.7562 0.2438
Mg 0.5000 0.2438 0.7562
Tl 0.3382 0.6618 0.6618
Tl 0.6618 0.3382 0.3382
Tl 0.0000 0.3401 0.6599
Tl 0.0000 0.6599 0.3401
Tl 0.3306 0.1694 0.1694
Tl 0.6694 0.8306 0.8306

SG: Immm
V (A^3/atom): 25.69

***

No. 19
A geometry-optimized Ca2MgTl structure. Source: the Alexandria database, functional PBE-GGA.

Unit cell a=8.7319 b=8.7319 c=7.1132 alpha=52.14 beta=52.14 gamma=90.00
Fractional coordinates of all 8 atoms:
Mg 0.5000 0.5000 0.0000
Mg 0.2500 0.7500 0.5000
Tl 0.0000 0.0000 0.0000
Tl 0.7500 0.2500 0.5000
Ca 0.6396 0.1250 0.2500
Ca 0.1104 0.6250 0.2500
Ca 0.3750 0.3604 0.7500
Ca 0.8750 0.8896 0.7500

SG: I-42d
V (A^3/atom): 33.66
Energy above the most stable polymorph in this dataset (eV/atom): 0.314

***

No. 20
A geometry-optimized CaMg2Tl4 structure. Source: the Alexandria database, functional PBE-GGA.

Unit cell a=5.1769 b=5.1769 c=8.9359 alpha=73.16 beta=73.16 gamma=60.00
Fractional coordinates of all 7 atoms:
Ca 0.0000 0.0000 0.0000
Mg 0.7451 0.7451 0.7648
Mg 0.2549 0.2549 0.2352
Tl 0.8665 0.8665 0.4005
Tl 0.1335 0.1335 0.5995
Tl 0.6111 0.6111 0.1667
Tl 0.3889 0.3889 0.8333

SG: R-3m
V (A^3/atom): 27.92
Energy above the most stable polymorph in this dataset (eV/atom): 0.000

***

The records above yield energy relative to the elements values of -0.037 -0.196 0.106 -0.203 -0.279 -0.113 -0.015 -0.096 -0.393 -0.182 0.173 -0.151 -0.123 -0.139 -0.250 -0.072 0.049 -0.099 0.026 -0.137 eV per atom, respectively.